The following is a PBE-GGA calculation of a geometry-optimized TiSnCl structure, from Alexandria.

Cell and atoms, written as CIF:
```
data_TiSnCl
_chemical_formula_sum 'Ti4 Sn4 Cl4'
_symmetry_space_group_name_H-M 'C 1 2/m 1'
_symmetry_Int_Tables_number 12
_symmetry_space_group_name_Hall '-C 2y'
_cell_length_a 10.703
_cell_length_b 3.145
_cell_length_c 9.660
_cell_angle_alpha 90.00
_cell_angle_beta 113.09
_cell_angle_gamma 90.00
loop_
_atom_site_label
_atom_site_type_symbol
_atom_site_fract_x
_atom_site_fract_y
_atom_site_fract_z
_atom_site_occupancy
Ti1 Ti 0.205 0.000 0.151 1
Sn1 Sn 0.038 0.500 0.871 1
Cl1 Cl 0.183 0.000 0.650 1
```

Summary:
The total energy is -5.265 eV per atom.

***

The following is a PBE-GGA calculation of a geometry-optimized PbAuI3 structure, from Alexandria.

Cell and atoms, written as CIF:
```
data_PbAuI3
_chemical_formula_sum 'Pb4 Au4 I12'
_symmetry_space_group_name_H-M 'P 1 21/c 1'
_symmetry_Int_Tables_number 14
_symmetry_space_group_name_Hall '-P 2ybc'
_cell_length_a 7.557
_cell_length_b 8.284
_cell_length_c 14.375
_cell_angle_alpha 90.00
_cell_angle_beta 120.54
_cell_angle_gamma 90.00
loop_
_atom_site_label
_atom_site_type_symbol
_atom_site_fract_x
_atom_site_fract_y
_atom_site_fract_z
_atom_site_occupancy
Pb1 Pb 0.170 0.103 0.247 1
Au1 Au 0.168 0.616 0.077 1
I1 I 0.120 0.175 0.925 1
I2 I 0.247 0.689 0.914 1
I3 I 0.429 0.061 0.753 1
```

Summary:
As for the energy above the most stable polymorph in this dataset: 0.053 eV per atom.

***

The following is a PBE-GGA calculation of a geometry-optimized MgBeZn3 structure, from Alexandria.

Cell and atoms, written as CIF:
```
data_MgBeZn3
_chemical_formula_sum 'Mg1 Be1 Zn3'
_symmetry_space_group_name_H-M 'P m -3 m'
_symmetry_Int_Tables_number 221
_symmetry_space_group_name_Hall '-P 4 2 3'
_cell_length_a 5.035
_cell_length_b 5.035
_cell_length_c 5.035
_cell_angle_alpha 90.00
_cell_angle_beta 90.00
_cell_angle_gamma 90.00
loop_
_atom_site_label
_atom_site_type_symbol
_atom_site_fract_x
_atom_site_fract_y
_atom_site_fract_z
_atom_site_occupancy
Mg1 Mg 0.000 0.000 0.000 1
Be1 Be 0.500 0.500 0.500 1
Zn1 Zn 0.000 0.000 0.500 1
```

Summary:
As for the energy above the most stable polymorph in this dataset: 0.871 eV per atom. The calculation puts the energy of formation from the pure elements at 1.09 eV/atom.

***

The following is a PBE-GGA calculation of a geometry-optimized KMnAl structure, from Alexandria.

Cell and atoms, written as CIF:
```
data_KMnAl
_chemical_formula_sum 'K4 Mn4 Al4'
_symmetry_space_group_name_H-M 'F -4 3 m'
_symmetry_Int_Tables_number 216
_symmetry_space_group_name_Hall 'F -4 2 3'
_cell_length_a 7.415
_cell_length_b 7.415
_cell_length_c 7.415
_cell_angle_alpha 90.00
_cell_angle_beta 90.00
_cell_angle_gamma 90.00
loop_
_atom_site_label
_atom_site_type_symbol
_atom_site_fract_x
_atom_site_fract_y
_atom_site_fract_z
_atom_site_occupancy
K1 K 0.000 0.000 0.000 1
Mn1 Mn 0.250 0.250 0.750 1
Al1 Al 0.250 0.250 0.250 1
```

Summary:
As for the energy above the most stable polymorph in this dataset: 0.967 eV per atom. The calculation puts the energy of formation from the pure elements at 1.40 eV/atom.

***

The following is a PBE-GGA calculation of a geometry-optimized PuNpAu4 structure, from Alexandria.

Cell and atoms, written as CIF:
```
data_PuNpAu4
_chemical_formula_sum 'Pu4 Np4 Au16'
_symmetry_space_group_name_H-M 'F -4 3 m'
_symmetry_Int_Tables_number 216
_symmetry_space_group_name_Hall 'F -4 2 3'
_cell_length_a 8.023
_cell_length_b 8.023
_cell_length_c 8.023
_cell_angle_alpha 90.00
_cell_angle_beta 90.00
_cell_angle_gamma 90.00
loop_
_atom_site_label
_atom_site_type_symbol
_atom_site_fract_x
_atom_site_fract_y
_atom_site_fract_z
_atom_site_occupancy
Pu1 Pu 0.000 0.000 0.000 1
Np1 Np 0.250 0.250 0.250 1
Au1 Au 0.125 0.125 0.625 1
```

Summary:
As for the energy above the most stable polymorph in this dataset: 0.200 eV per atom. The calculation puts the energy of formation from the pure elements at -0.16 eV/atom.